Computed, not measured: Sr3TeF3 after structural relaxation at the GGA-PBE level of DFT.

Calculated values
magnetization: 0.00 μB per formula unit
total DFT energy (no corrections): -4.90 eV/atom
ΔE_f (raw): -2926 meV per atom

a b c (Å): 7.5249 7.5249 22.0985
angles (deg): 90.00 90.00 120.00
Space group R-3 (No. 148, hexagonal axes)
Unique sites:
Sr1 0.0005 0.3194 0.0918 x18
Te1 0.0000 0.0000 0.3332 x6
F1 0.9998 0.3302 0.8709 x18